Entry 1:
# Si2BiAs2 | Alexandria | GGA-PBE | relaxed
# ΔE to the lowest computed polymorph: 0 meV per atom
# V: 205.8 Å³/cell
# electronic total energy: -4.5284 eV per atom
# formation energy without anion corrections: 26.7 kJ/mol of atoms
data_Si2BiAs2
_chemical_formula_sum 'Si4 Bi2 As4'
_cell_length_a 4.9057
_cell_length_b 4.9057
_cell_length_c 8.5501
_cell_angle_alpha 90.00
_cell_angle_beta 90.00
_cell_angle_gamma 90.00
_symmetry_space_group_name_H-M 'I 4/m m m'
_symmetry_Int_Tables_number 139
_symmetry_space_group_name_Hall '-I 4 2'
loop_
_atom_site_label
_atom_site_fract_x
_atom_site_fract_y
_atom_site_fract_z
Si1 0.0000 0.0000 0.1427
Bi1 0.0000 0.0000 0.5000
As1 0.0000 0.5000 0.2500

Entry 2:
# CaHgMo2 | Alexandria | GGA-PBE | relaxed
# V: 154.8 Å³/cell
# electronic total energy: -5.2605 eV per atom
data_CaHgMo2
_chemical_formula_sum 'Ca2 Hg2 Mo4'
_cell_length_a 3.7867
_cell_length_b 4.1482
_cell_length_c 9.8549
_cell_angle_alpha 90.00
_cell_angle_beta 90.00
_cell_angle_gamma 90.00
_symmetry_space_group_name_H-M 'C m m m'
_symmetry_Int_Tables_number 65
_symmetry_space_group_name_Hall '-C 2 2'
loop_
_atom_site_label
_atom_site_fract_x
_atom_site_fract_y
_atom_site_fract_z
Ca1 0.0000 0.0000 0.0000
Hg1 0.0000 0.0000 0.5000
Mo1 0.0000 0.5000 0.2659

Entry 3:
# NaLa2Pb2 | Alexandria | GGA-PBE | relaxed
# ΔE to the lowest computed polymorph: 366 meV per atom
# V: 384.2 Å³/cell
# electronic total energy: -3.7800 eV per atom
data_NaLa2Pb2
_chemical_formula_sum 'Na2 La4 Pb4'
_cell_length_a 5.1800
_cell_length_b 5.1800
_cell_length_c 14.3173
_cell_angle_alpha 90.00
_cell_angle_beta 90.00
_cell_angle_gamma 90.00
_symmetry_space_group_name_H-M 'I 4/m m m'
_symmetry_Int_Tables_number 139
_symmetry_space_group_name_Hall '-I 4 2'
loop_
_atom_site_label
_atom_site_fract_x
_atom_site_fract_y
_atom_site_fract_z
Na1 0.0000 0.0000 0.0000
La1 0.0000 0.5000 0.2500
Pb1 0.0000 0.0000 0.3957

Entry 4:
# BaNaGaS3 | Alexandria | GGA-PBE | relaxed
# V: 674.1 Å³/cell
# electronic total energy: -4.2957 eV per atom
# formation energy without anion corrections: -114.5 kJ/mol of atoms
data_BaNaGaS3
_chemical_formula_sum 'Ba4 Na4 Ga4 S12'
_cell_length_a 10.3208
_cell_length_b 7.7689
_cell_length_c 8.9479
_cell_angle_alpha 90.00
_cell_angle_beta 110.02
_cell_angle_gamma 90.00
_symmetry_space_group_name_H-M 'C 1 2/m 1'
_symmetry_Int_Tables_number 12
loop_
_symmetry_equiv_pos_as_xyz
'x,y,z'
'-x,-y,-z'
'-x,y,-z'
'x,-y,z'
'x+1/2,y+1/2,z'
'-x+1/2,-y+1/2,-z'
'-x+1/2,y+1/2,-z'
'x+1/2,-y+1/2,z'
loop_
_atom_site_label
_atom_site_fract_x
_atom_site_fract_y
_atom_site_fract_z
Ba1 0.1891 0.0000 0.1640
Na1 0.0000 0.2052 0.5000
Ga1 0.0624 0.5000 0.2548
S1 0.0574 0.2580 0.8230
S2 0.2493 0.0000 0.5366

Entry 5:
# ScCoSe2N | Alexandria | GGA-PBE | relaxed
# ΔE to the lowest computed polymorph: 840 meV per atom
# V: 107.5 Å³/cell
# electronic total energy: -5.1976 eV per atom
# formation energy without anion corrections: 52.9 kJ/mol of atoms
data_ScCoSe2N
_chemical_formula_sum 'Sc1 Co1 Se2 N1'
_cell_length_a 5.2112
_cell_length_b 5.2112
_cell_length_c 3.9585
_cell_angle_alpha 90.00
_cell_angle_beta 90.00
_cell_angle_gamma 90.00
_symmetry_space_group_name_H-M 'P 4/m m m'
_symmetry_Int_Tables_number 123
_symmetry_space_group_name_Hall '-P 4 2'
loop_
_atom_site_label
_atom_site_fract_x
_atom_site_fract_y
_atom_site_fract_z
Sc1 0.0000 0.0000 0.0000
Co1 0.5000 0.5000 0.5000
Se1 0.0000 0.5000 0.0000
N1 0.0000 0.0000 0.5000

Entry 6:
# TiZnIrPt | Alexandria | GGA-PBE | relaxed
# V: 117.9 Å³/cell
# electronic total energy: -6.7819 eV per atom
data_TiZnIrPt
_chemical_formula_sum 'Ti2 Zn2 Ir2 Pt2'
_cell_length_a 4.0543
_cell_length_b 4.0543
_cell_length_c 7.1709
_cell_angle_alpha 90.00
_cell_angle_beta 90.00
_cell_angle_gamma 90.00
_symmetry_space_group_name_H-M 'I -4 m 2'
_symmetry_Int_Tables_number 119
_symmetry_space_group_name_Hall 'I -4 -2'
loop_
_atom_site_label
_atom_site_fract_x
_atom_site_fract_y
_atom_site_fract_z
Ti1 0.0000 0.0000 0.0000
Zn1 0.0000 0.0000 0.5000
Ir1 0.0000 0.5000 0.2500
Pt1 0.0000 0.5000 0.7500

Entry 7:
# TmBrO | Alexandria | GGA-PBE | relaxed
# V: 268.7 Å³/cell
# electronic total energy: -6.6453 eV per atom
# formation energy without anion corrections: -284.1 kJ/mol of atoms
data_TmBrO
_chemical_formula_sum 'Tm4 Br4 O4'
_cell_length_a 5.3573
_cell_length_b 5.3575
_cell_length_c 9.3643
_cell_angle_alpha 90.00
_cell_angle_beta 90.89
_cell_angle_gamma 90.00
_symmetry_space_group_name_H-M 'C 1 2/m 1'
_symmetry_Int_Tables_number 12
loop_
_symmetry_equiv_pos_as_xyz
'x,y,z'
'-x,-y,-z'
'-x,y,-z'
'x,-y,z'
'x+1/2,y+1/2,z'
'-x+1/2,-y+1/2,-z'
'-x+1/2,y+1/2,-z'
'x+1/2,-y+1/2,z'
loop_
_atom_site_label
_atom_site_fract_x
_atom_site_fract_y
_atom_site_fract_z
Tm1 0.2468 0.0000 0.3812
Br1 0.2415 0.5000 0.2012
O1 0.0000 0.2500 0.5000

Entry 8:
# CaCoH2 | Alexandria | GGA-PBE | relaxed
# ΔE to the lowest computed polymorph: 0 meV per atom
# V: 174.9 Å³/cell
# electronic total energy: -4.0705 eV per atom
data_CaCoH2
_chemical_formula_sum 'Ca4 Co4 H8'
_cell_length_a 4.3052
_cell_length_b 4.3052
_cell_length_c 9.4367
_cell_angle_alpha 90.00
_cell_angle_beta 90.00
_cell_angle_gamma 90.00
_symmetry_space_group_name_H-M 'I -4 2 d'
_symmetry_Int_Tables_number 122
_symmetry_space_group_name_Hall 'I -4 2bw'
loop_
_atom_site_label
_atom_site_fract_x
_atom_site_fract_y
_atom_site_fract_z
Ca1 0.0000 0.0000 0.0000
Co1 0.0000 0.0000 0.5000
H1 0.0986 0.2500 0.6250

no.,ρ (g/cm³)
1,6.7
2,9.3
3,6.2
4,3.2
5,4.3
6,14.1
7,6.5
8,3.8